(1)
{
  "formula": "SrCaRe2",
  "functional": "PBEsol",
  "state": "relaxed",
  "cell": [[3.6677, 0.0000, 0.0000], [0.0000, 5.2115, 0.0000], [-1.8339, -2.6058, 5.0869]],
  "species": ["Re", "Ca", "Sr", "Re"],
  "frac_coords": [[0.2987, 0.7987, 0.5975], [0.7394, 0.2394, 0.4789], [0.5178, 0.5178, 0.0356], [0.9441, 0.9441, 0.8881]],
  "m_tot_mub_per_fu": 0.000,
  "total_energy_ev_per_atom": -7.0088
}

(2)
{
  "formula": "Te2PtPb",
  "functional": "PBEsol",
  "state": "relaxed",
  "cell": [[-3.3101, -0.5497, -2.3513], [0.2345, -2.3447, -3.3518], [-2.8235, -6.6709, 1.9647]],
  "species": ["Te", "Pt", "Te", "Pb"],
  "frac_coords": [[0.7507, 0.7507, 0.7478], [0.2558, 0.2558, 0.2327], [0.9803, 0.9803, 0.0590], [0.5132, 0.5132, 0.4605]],
  "formation_energy_uncorrected_ev_per_fu": -0.53,
  "m_tot_mub_per_fu": 0.000,
  "total_energy_ev_per_atom": -4.6366
}

(3)
{
  "formula": "SrCu2Ir",
  "functional": "PBEsol",
  "state": "relaxed",
  "cell": [[4.2426, 0.0000, 0.0000], [-2.1213, 3.6749, -0.0431], [0.0000, -2.3824, 5.1742]],
  "species": ["Cu", "Cu", "Ir", "Sr"],
  "frac_coords": [[0.7558, 0.5116, 0.2671], [0.0628, 0.1257, 0.1878], [0.4353, 0.8707, 0.3056], [0.2460, 0.4920, 0.7395]],
  "polymorph_energy_ev_per_fu": 0.05,
  "m_tot_mub_per_fu": 0.000,
  "total_energy_ev_per_atom": -5.0961
}

(4)
{
  "formula": "Cd2NiBr",
  "functional": "PBEsol",
  "state": "relaxed",
  "cell": [[-0.5108, 3.2618, 2.1940], [-3.8776, -0.7815, 0.2591], [3.0008, -3.8793, 2.8849]],
  "species": ["Cd", "Ni", "Br", "Cd"],
  "frac_coords": [[0.0000, 0.0000, 0.0000], [0.5000, 0.5000, 0.0000], [0.2500, 0.7500, 0.5000], [0.7500, 0.2500, 0.5000]],
  "formation_energy_uncorrected_ev_per_fu": 1.40,
  "polymorph_energy_ev_per_fu": 1.06,
  "m_tot_mub_per_fu": 0.001,
  "total_energy_ev_per_atom": -2.2555
}

(5)
{
  "formula": "CoCuNi2",
  "functional": "PBEsol",
  "state": "relaxed",
  "cell": [[-0.1570, 1.9340, 2.8699], [-3.3964, 0.4654, -0.4995], [1.1012, -4.0835, 0.7212]],
  "species": ["Co", "Ni", "Ni", "Cu"],
  "frac_coords": [[0.5000, 0.5000, 0.0000], [0.0000, 0.0000, 0.0000], [0.7500, 0.2500, 0.5000], [0.2500, 0.7500, 0.5000]],
  "m_tot_mub_per_fu": 2.747,
  "total_energy_ev_per_atom": -6.0227
}

(6)
{
  "formula": "MgCd2P",
  "functional": "PBEsol",
  "state": "relaxed",
  "cell": [[3.1655, 0.0060, 0.0000], [-0.2366, 4.5688, 0.0000], [-1.4645, -2.2874, 5.5199]],
  "species": ["P", "Cd", "Cd", "Mg"],
  "frac_coords": [[0.5000, 0.5000, 0.0000], [0.0000, 0.0000, 0.5000], [0.5000, 0.5000, 0.5000], [0.0000, 0.0000, 0.0000]],
  "m_tot_mub_per_fu": 0.000,
  "total_energy_ev_per_atom": -2.4461
}

(7)
{
  "formula": "Be2Rh",
  "functional": "PBEsol",
  "state": "relaxed",
  "cell": [[2.8126, 0.0000, 0.0000], [0.0000, 2.8126, 0.0000], [-1.4063, -1.4063, 3.6852]],
  "species": ["Rh", "Be", "Be"],
  "frac_coords": [[0.0000, 0.0000, 0.0000], [0.3341, 0.3341, 0.6682], [0.6659, 0.6659, 0.3318]],
  "m_tot_mub_per_fu": 0.000,
  "total_energy_ev_per_atom": -5.8983
}

(8)
{
  "formula": "BiBSb2Te",
  "functional": "PBEsol",
  "state": "relaxed",
  "cell": [[5.7794, 0.0000, 0.0000], [0.0000, 5.7794, 0.0000], [0.0000, 0.0000, 5.8113]],
  "species": ["Te", "Sb", "Bi", "Sb", "B"],
  "frac_coords": [[0.0000, 0.0000, 0.5000], [0.0000, 0.5000, 0.0000], [0.0000, 0.0000, 0.0000], [0.5000, 0.0000, 0.0000], [0.5000, 0.5000, 0.5000]],
  "formation_energy_uncorrected_ev_per_fu": 9.17,
  "m_tot_mub_per_fu": 0.005,
  "total_energy_ev_per_atom": -2.9550
}

(9)
{
  "formula": "ScIn2Tc",
  "functional": "PBEsol",
  "state": "relaxed",
  "cell": [[4.0918, 0.0000, 0.0000], [0.0000, 4.1096, 0.0000], [0.0000, 0.0000, 4.3903]],
  "species": ["Tc", "In", "Sc", "In"],
  "frac_coords": [[0.0000, 0.5000, 0.5000], [0.0000, 0.0000, 0.0000], [0.5000, 0.0000, 0.5000], [0.5000, 0.5000, 0.0000]],
  "polymorph_energy_ev_per_fu": 0.00,
  "m_tot_mub_per_fu": 0.006,
  "total_energy_ev_per_atom": -6.0451
}

(10)
{
  "formula": "TlBi2WN",
  "functional": "PBEsol",
  "state": "relaxed",
  "cell": [[3.9007, 0.0000, 0.0000], [0.0000, 5.8023, 0.0000], [0.0000, 0.0000, 5.8023]],
  "species": ["N", "Bi", "Tl", "W", "Bi"],
  "frac_coords": [[0.5000, 0.0000, 0.0000], [0.0000, 0.0000, 0.5000], [0.0000, 0.0000, 0.0000], [0.5000, 0.5000, 0.5000], [0.0000, 0.5000, 0.0000]],
  "formation_energy_uncorrected_ev_per_fu": 10.73,
  "m_tot_mub_per_fu": 3.576,
  "total_energy_ev_per_atom": -4.5608
}

(11)
{
  "formula": "TlTeSI2",
  "functional": "PBEsol",
  "state": "relaxed",
  "cell": [[-1.1847, -5.1963, 1.2711], [1.9281, -1.6092, -4.7816], [4.9081, -0.5866, 2.1765]],
  "species": ["Tl", "I", "S", "I", "Te"],
  "frac_coords": [[0.5000, 0.5000, 0.5000], [0.0000, 0.0000, 0.5000], [0.0000, 0.0000, 0.0000], [0.0000, 0.5000, 0.0000], [0.5000, 0.0000, 0.0000]],
  "formation_energy_uncorrected_ev_per_fu": 0.32,
  "m_tot_mub_per_fu": 0.001,
  "total_energy_ev_per_atom": -2.7510
}

(12)
{
  "formula": "SrLiLa",
  "functional": "PBEsol",
  "state": "relaxed",
  "cell": [[-0.8124, -2.9848, 4.4898], [-0.7942, -5.3786, -0.4089], [3.8513, -3.4619, 1.7059]],
  "species": ["La", "Li", "Sr"],
  "frac_coords": [[0.0000, 0.0000, 0.0000], [0.5000, 0.5000, 0.5000], [0.2500, 0.2500, 0.2500]],
  "polymorph_energy_ev_per_fu": 1.64,
  "m_tot_mub_per_fu": 0.001,
  "total_energy_ev_per_atom": -2.2715
}

(13)
{
  "formula": "FeMo2Ir",
  "functional": "PBEsol",
  "state": "relaxed",
  "cell": [[2.6953, 0.0000, 0.0000], [-1.3477, 4.4234, 0.0214], [0.0000, -0.7932, 4.6484]],
  "species": ["Mo", "Ir", "Mo", "Fe"],
  "frac_coords": [[0.2419, 0.4837, 0.7227], [0.7555, 0.5110, 0.2459], [0.0058, 0.0116, 0.0192], [0.4969, 0.9937, 0.5122]],
  "polymorph_energy_ev_per_fu": 0.34,
  "m_tot_mub_per_fu": 1.194,
  "total_energy_ev_per_atom": -10.5720
}

(14)
{
  "formula": "NaTl2Te2",
  "functional": "PBEsol",
  "state": "relaxed",
  "cell": [[-0.8106, -4.7091, -3.4151], [4.7293, 3.9550, -1.5256], [5.4869, -1.7641, 1.1302]],
  "species": ["Tl", "Te", "Te", "Tl", "Na"],
  "frac_coords": [[0.3473, 0.6947, 0.6527], [0.7500, 0.5000, 0.7500], [0.2500, 0.5000, 0.2500], [0.6527, 0.3053, 0.3473], [0.0000, 0.0000, 0.0000]],
  "formation_energy_uncorrected_ev_per_fu": -1.23,
  "m_tot_mub_per_fu": 0.000,
  "total_energy_ev_per_atom": -2.9882
}

(15)
{
  "formula": "AsPbBr",
  "functional": "PBEsol",
  "state": "relaxed",
  "cell": [[-2.4541, -3.3904, 0.7912], [3.5646, 0.6200, 2.2477], [-2.8153, 2.8935, 3.6666]],
  "species": ["Pb", "Br", "As"],
  "frac_coords": [[0.3333, 0.6667, 0.2771], [0.6667, 0.3333, 0.6647], [0.0000, 0.0000, 0.0583]],
  "formation_energy_uncorrected_ev_per_fu": 0.07,
  "polymorph_energy_ev_per_fu": 0.00,
  "m_tot_mub_per_fu": 0.000,
  "total_energy_ev_per_atom": -3.6349
}

(16)
{
  "formula": "TaSiP2S",
  "functional": "PBEsol",
  "state": "relaxed",
  "cell": [[-0.7931, 0.6905, -4.5170], [1.0139, -4.6097, -0.8827], [-4.6210, -1.1385, 0.6374]],
  "species": ["S", "P", "Ta", "Si", "P"],
  "frac_coords": [[0.5000, 0.0000, 0.0000], [0.0000, 0.0000, 0.5000], [0.0000, 0.0000, 0.0000], [0.5000, 0.5000, 0.5000], [0.0000, 0.5000, 0.0000]],
  "formation_energy_uncorrected_ev_per_fu": 2.47,
  "m_tot_mub_per_fu": 0.000,
  "total_energy_ev_per_atom": -6.3586
}

(17)
{
  "formula": "CdSbRh2",
  "functional": "PBEsol",
  "state": "relaxed",
  "cell": [[-0.4831, 0.2860, 3.1237], [1.6814, -2.8149, 0.5178], [5.2985, 3.2607, 0.5209]],
  "species": ["Rh", "Sb", "Rh", "Cd"],
  "frac_coords": [[0.0000, 0.0000, 0.7653], [0.5000, 0.5000, 0.0000], [0.0000, 0.0000, 0.2347], [0.5000, 0.5000, 0.5000]],
  "formation_energy_uncorrected_ev_per_fu": -0.89,
  "m_tot_mub_per_fu": 0.000,
  "total_energy_ev_per_atom": -5.7313
}

(18)
{
  "formula": "BaTl5",
  "functional": "PBEsol",
  "state": "relaxed",
  "cell": [[-0.0543, 1.3412, 3.9020], [2.4989, -3.0946, 1.0984], [8.5274, 6.1747, -2.0036]],
  "species": ["Ba", "Tl", "Tl", "Tl", "Tl", "Tl"],
  "frac_coords": [[0.5000, 0.5000, 0.0000], [0.0000, 0.0000, 0.5000], [0.5000, 0.5000, 0.3459], [0.0000, 0.0000, 0.2004], [0.5000, 0.5000, 0.6541], [0.0000, 0.0000, 0.7996]],
  "polymorph_energy_ev_per_fu": 0.25,
  "m_tot_mub_per_fu": 0.000,
  "total_energy_ev_per_atom": -2.7079
}

(19)
{
  "formula": "PPdI2",
  "functional": "PBEsol",
  "state": "relaxed",
  "cell": [[-2.6297, -3.9500, 1.4318], [1.7230, -4.5677, -0.8573], [1.5859, -2.7988, 3.7708]],
  "species": ["Pd", "I", "I", "P"],
  "frac_coords": [[0.5000, 0.5000, 0.5000], [0.7500, 0.7500, 0.7500], [0.2500, 0.2500, 0.2500], [0.0000, 0.0000, 0.0000]],
  "formation_energy_uncorrected_ev_per_fu": 2.57,
  "m_tot_mub_per_fu": 0.000,
  "total_energy_ev_per_atom": -3.1778
}

(20)
{
  "formula": "Tl2CN2",
  "functional": "PBEsol",
  "state": "relaxed",
  "cell": [[5.3039, 0.0033, -0.0040], [-2.5976, 6.0773, 0.0143], [-1.3355, -1.9176, 9.3077]],
  "species": ["N", "Tl", "N", "C", "C", "Tl", "N", "C", "N", "N", "Tl", "N", "Tl", "Tl", "Tl"],
  "frac_coords": [[0.5862, 0.2440, 0.7106], [0.5909, 0.4584, 0.3206], [0.2811, 0.4917, 0.9287], [0.7613, 0.2237, 0.6441], [0.2387, 0.7763, 0.3559], [0.8204, 0.1839, 0.9583], [0.0537, 0.7969, 0.4144], [0.5000, 0.5000, 0.0000], [0.9463, 0.2031, 0.5856], [0.7189, 0.5083, 0.0713], [0.8914, 0.0822, 0.3198], [0.4138, 0.7560, 0.2894], [0.1086, 0.9178, 0.6802], [0.1796, 0.8161, 0.0417], [0.4091, 0.5416, 0.6794]],
  "formation_energy_uncorrected_ev_per_fu": 0.58,
  "m_tot_mub_per_fu": 0.000,
  "total_energy_ev_per_atom": -6.2748
}

(21)
{
  "formula": "BeSeBr2",
  "functional": "PBEsol",
  "state": "relaxed",
  "cell": [[3.5119, 0.0000, 0.0000], [0.0000, 3.9834, 0.0568], [0.0000, -0.0919, 6.2526]],
  "species": ["Se", "Be", "Br", "Br"],
  "frac_coords": [[0.5000, 0.5000, 0.0000], [0.0000, 0.5000, 0.5000], [0.0000, 0.0000, 0.0000], [0.5000, 0.0000, 0.5000]],
  "formation_energy_uncorrected_ev_per_fu": 1.49,
  "polymorph_energy_ev_per_fu": 1.70,
  "m_tot_mub_per_fu": 0.000,
  "total_energy_ev_per_atom": -2.5242
}

(22)
{
  "formula": "Sr3As2O8",
  "functional": "PBEsol",
  "state": "relaxed",
  "cell": [[5.5836, 0.0000, 0.0000], [2.7918, 4.8355, 0.0000], [2.7918, 1.6118, 6.6763]],
  "species": ["Sr", "As", "O", "As", "O", "O", "O", "Sr", "O", "Sr", "O", "O", "O"],
  "frac_coords": [[0.7969, 0.7969, 0.6094], [0.5935, 0.5935, 0.2194], [0.2676, 0.7693, 0.6956], [0.4065, 0.4065, 0.7806], [0.6783, 0.6783, 0.9650], [0.2307, 0.7324, 0.3044], [0.7324, 0.2307, 0.3044], [0.2031, 0.2031, 0.3906], [0.7693, 0.2676, 0.6956], [0.0000, 0.0000, 0.0000], [0.2676, 0.2676, 0.6956], [0.3217, 0.3217, 0.0350], [0.7324, 0.7324, 0.3044]],
  "formation_energy_uncorrected_ev_per_fu": -29.88,
  "polymorph_energy_ev_per_fu": 0.00,
  "m_tot_mub_per_fu": 0.000,
  "total_energy_ev_per_atom": -6.7395
}

(23)
{
  "formula": "Ca2LaCl",
  "functional": "PBEsol",
  "state": "relaxed",
  "cell": [[-1.4129, -2.0841, -2.6332], [3.7697, -4.6996, 1.6969], [-5.5388, 0.0729, 2.9142]],
  "species": ["Ca", "Cl", "Ca", "La"],
  "frac_coords": [[0.0000, 0.5000, 0.0000], [0.5000, 0.0000, 0.0000], [0.0000, 0.0000, 0.5000], [0.5000, 0.5000, 0.5000]],
  "formation_energy_uncorrected_ev_per_fu": -1.43,
  "polymorph_energy_ev_per_fu": 1.88,
  "m_tot_mub_per_fu": 0.000,
  "total_energy_ev_per_atom": -3.2618
}

(24)
{
  "formula": "Y5Re",
  "functional": "PBEsol",
  "state": "relaxed",
  "cell": [[-0.6598, 5.5229, 2.3248], [-5.2959, 1.6695, 2.3472], [-0.5649, 0.7142, 5.9593]],
  "species": ["Y", "Y", "Y", "Y", "Re", "Y"],
  "frac_coords": [[0.3733, 0.8800, 0.3733], [0.8800, 0.3733, 0.3733], [0.3733, 0.3733, 0.3733], [0.3733, 0.3733, 0.8800], [0.0000, 0.0000, 0.0000], [0.7500, 0.7500, 0.7500]],
  "m_tot_mub_per_fu": 1.393,
  "total_energy_ev_per_atom": -7.0533
}

(25)
{
  "formula": "Al2BiSBr",
  "functional": "PBEsol",
  "state": "relaxed",
  "cell": [[5.0734, 0.0000, 0.0000], [0.0000, 5.7096, 0.0000], [0.0000, 0.0000, 5.7096]],
  "species": ["Al", "Al", "Bi", "Br", "S"],
  "frac_coords": [[0.0000, 0.0000, 0.5000], [0.0000, 0.5000, 0.0000], [0.0000, 0.0000, 0.0000], [0.5000, 0.5000, 0.5000], [0.5000, 0.0000, 0.0000]],
  "formation_energy_uncorrected_ev_per_fu": 2.60,
  "m_tot_mub_per_fu": 0.000,
  "total_energy_ev_per_atom": -3.2253
}

(26)
{
  "formula": "Y3Se",
  "functional": "PBEsol",
  "state": "relaxed",
  "cell": [[3.6847, 0.0000, 0.0000], [-1.8424, 3.1910, 0.0000], [0.0000, 0.0000, 9.5265]],
  "species": ["Se", "Y", "Y", "Y"],
  "frac_coords": [[0.0000, 0.0000, 0.0000], [0.0000, 0.0000, 0.5000], [0.3333, 0.6667, 0.2031], [0.3333, 0.6667, 0.7969]],
  "formation_energy_uncorrected_ev_per_fu": -3.30,
  "polymorph_energy_ev_per_fu": 0.11,
  "m_tot_mub_per_fu": 0.657,
  "total_energy_ev_per_atom": -6.9052
}

(27)
{
  "formula": "RbCoHg2",
  "functional": "PBEsol",
  "state": "relaxed",
  "cell": [[-3.0549, -3.6711, -2.0035], [0.9007, -4.9868, 1.0700], [-3.2518, -2.6194, 3.0640]],
  "species": ["Hg", "Hg", "Rb", "Co"],
  "frac_coords": [[0.2500, 0.2500, 0.2500], [0.7500, 0.7500, 0.7500], [0.5000, 0.5000, 0.5000], [0.0000, 0.0000, 0.0000]],
  "m_tot_mub_per_fu": 1.666,
  "total_energy_ev_per_atom": -1.8117
}

(28)
{
  "formula": "Be3Ag",
  "functional": "PBEsol",
  "state": "relaxed",
  "cell": [[-0.2728, 2.3761, -1.9268], [0.8406, -2.1923, -2.8225], [-3.8279, -0.8667, 1.9209]],
  "species": ["Ag", "Be", "Be", "Be"],
  "frac_coords": [[0.0000, 0.5000, 0.0000], [0.7568, 0.7568, 0.5135], [0.5000, 0.0000, 0.0000], [0.2432, 0.2432, 0.4865]],
  "polymorph_energy_ev_per_fu": 0.16,
  "m_tot_mub_per_fu": 0.000,
  "total_energy_ev_per_atom": -3.6839
}

(29)
{
  "formula": "KZnSb3",
  "functional": "PBEsol",
  "state": "relaxed",
  "cell": [[5.6951, 0.0000, 0.0000], [0.0000, 5.6951, 0.0000], [0.0000, 0.0000, 5.6951]],
  "species": ["Zn", "Sb", "Sb", "K", "Sb"],
  "frac_coords": [[0.5000, 0.5000, 0.5000], [0.0000, 0.0000, 0.5000], [0.5000, 0.0000, 0.0000], [0.0000, 0.0000, 0.0000], [0.0000, 0.5000, 0.0000]],
  "formation_energy_uncorrected_ev_per_fu": 7.00,
  "m_tot_mub_per_fu": 0.003,
  "total_energy_ev_per_atom": -1.8767
}